Entry 1:
Material: Ag2HgOs
Method: DFT, PBEsol
State: relaxed

Lattice parameters (Å, degrees): 2.7462 2.7462 8.8410 90.00 90.00 90.00
Atoms (fractional coordinates):
Os 0.5000 0.5000 0.5000
Hg 0.5000 0.5000 0.0000
Ag 0.0000 0.0000 0.7350
Ag 0.0000 0.0000 0.2650

Values from the calculation:
VASP energy: -4.3222 eV/atom
Crystal system: tetragonal
Formation enthalpy at 0 K: 2.12 eV per formula unit
D(E_F): 2.7 states/eV per cell

=====

Entry 2:
Material: HoErAg2
Method: DFT, PBEsol
State: relaxed

Lattice parameters (Å, degrees): 5.0108 5.0108 5.0108 60.00 60.00 60.00
Atoms (fractional coordinates):
Ho 0.0000 0.0000 0.0000
Ag 0.2500 0.2500 0.2500
Ag 0.7500 0.7500 0.7500
Er 0.5000 0.5000 0.5000

Values from the calculation:
VASP energy: -4.4685 eV/atom
Crystal system: cubic
Formation enthalpy at 0 K: -1.37 eV per formula unit
D(E_F): 2.1 states/eV per cell

=====

Entry 3:
Material: SrBeIr2
Method: DFT, PBEsol
State: relaxed

Lattice parameters (Å, degrees): 2.8896 2.8896 7.4359 90.00 90.00 90.00
Atoms (fractional coordinates):
Sr 0.5000 0.5000 0.0000
Ir 0.0000 0.0000 0.6804
Ir 0.0000 0.0000 0.3196
Be 0.5000 0.5000 0.5000

Values from the calculation:
VASP energy: -6.2782 eV/atom
Crystal system: tetragonal
Formation enthalpy at 0 K: 0.37 eV per formula unit
D(E_F): 5.0 states/eV per cell

=====

Entry 4:
Material: Y2HgB
Method: DFT, PBEsol
State: relaxed

Lattice parameters (Å, degrees): 4.9028 4.9028 4.9028 60.00 60.00 60.00
Atoms (fractional coordinates):
Y 0.2500 0.2500 0.2500
Y 0.7500 0.7500 0.7500
B 0.0000 0.0000 0.0000
Hg 0.5000 0.5000 0.5000

Values from the calculation:
VASP energy: -5.3180 eV/atom
Crystal system: cubic
Formation enthalpy at 0 K: -0.04 eV per formula unit
D(E_F): 3.5 states/eV per cell

=====

Entry 5:
Material: HfTi3Ag
Method: DFT, PBEsol
State: relaxed

Lattice parameters (Å, degrees): 4.7479 4.7479 4.7479 90.00 90.00 90.00
Atoms (fractional coordinates):
Hf 0.0000 0.0000 0.0000
Ag 0.5000 0.5000 0.5000
Ti 0.0000 0.5000 0.0000
Ti 0.0000 0.0000 0.5000
Ti 0.5000 0.0000 0.0000

Values from the calculation:
VASP energy: -6.4776 eV/atom
Crystal system: cubic
Formation enthalpy at 0 K: 6.39 eV per formula unit
D(E_F): 9.1 states/eV per cell

=====

Entry 6:
Material: Ta2CrAg
Method: DFT, PBEsol
State: relaxed

Lattice parameters (Å, degrees): 2.7406 2.7406 8.9480 90.00 90.00 108.77
Atoms (fractional coordinates):
Ag 0.0000 0.0000 0.4854
Cr 0.5000 0.5000 0.2425
Ta 0.0000 0.0000 0.0202
Ta 0.5000 0.5000 0.7518

Values from the calculation:
VASP energy: -9.3801 eV/atom
ΔE to the lowest computed polymorph: 0 meV per atom
Crystal system: orthorhombic
Formation enthalpy at 0 K: 1.13 eV per formula unit
D(E_F): 3.2 states/eV per cell